The following is a DFT calculation (PBE) of Te3Mo after structural relaxation.

a b c (Å): 5.240 5.240 3.502
angles (deg): 90.00 90.00 90.00
Atoms (fractional coordinates):
Te: 0.000 0.000 0.000
Te: 0.000 0.500 0.500
Te: 0.500 0.000 0.500
Mo: 0.500 0.500 0.000

Formation energy (no corrections) (eV/atom): 0.715
Space-group type: No. 123

***

The following is a DFT calculation (PBE) of NiPdRh2W after structural relaxation.

a b c (Å): 4.375 4.375 4.417
angles (deg): 90.00 90.00 90.00
Atoms (fractional coordinates):
Ni: 0.000 0.000 0.000
Pd: 0.000 0.000 0.500
Rh: 0.000 0.500 0.000
Rh: 0.500 0.000 0.000
W: 0.500 0.500 0.500

Formation energy (eV/atom): 1.378
Space-group type: No. 123

***

The following is a DFT calculation (PBE) of Ac2YTe after structural relaxation.

a b c (Å): 11.960 11.960 11.960
angles (deg): 19.42 19.42 19.42
Atoms (fractional coordinates):
Ac: 0.100 0.100 0.100
Ac: 0.900 0.900 0.900
Y: 0.000 0.000 0.000
Te: 0.500 0.500 0.500

Formation energy (no corrections) (eV/atom): -0.241
ΔE to the lowest computed polymorph (meV per atom): 308
Space-group type: No. 166

***

The following is a DFT calculation (PBE) of CrMoI3 after structural relaxation.

a b c (Å): 5.564 5.564 5.564
angles (deg): 90.00 90.00 90.00
Atoms (fractional coordinates):
Cr: 0.000 0.000 0.000
Mo: 0.500 0.500 0.500
I: 0.000 0.000 0.500
I: 0.000 0.500 0.000
I: 0.500 0.000 0.000

Formation energy (no corrections) (eV/atom): 0.752
ΔE to the lowest computed polymorph (meV per atom): 0
Space-group type: No. 221

***

The following is a DFT calculation (PBE) of Er4AlAg after structural relaxation.

a b c (Å): 3.500 3.500 12.743
angles (deg): 90.00 90.00 90.00
Atoms (fractional coordinates):
Er: 0.000 0.000 0.149
Er: 0.000 0.000 0.851
Er: 0.500 0.500 0.351
Er: 0.500 0.500 0.649
Al: 0.000 0.000 0.500
Ag: 0.500 0.500 0.000

Formation energy (eV/atom): -0.217
ΔE to the lowest computed polymorph (meV per atom): 0
Space-group type: No. 123

***

The following is a DFT calculation (PBE) of Ac2DyTmAs4 after structural relaxation.

a b c (Å): 7.486 4.325 7.487
angles (deg): 90.00 109.45 90.00
Atoms (fractional coordinates):
Ac: 0.000 0.000 0.000
Ac: 0.000 0.500 0.500
Dy: 0.500 0.000 0.500
Tm: 0.500 0.500 0.000
As: 0.274 0.500 0.257
As: 0.275 0.000 0.760
As: 0.725 0.000 0.240
As: 0.726 0.500 0.743

Formation energy (eV/atom): -1.460
Space-group type: No. 10

***

no.,magnetic moment (μB/f.u.)
1,2.00
2,0.78
3,0.42
4,9.00
5,0.69
6,0.00